VASP calculation (PBE) on a relaxed structure of Ta2TcRh.

Unit cell a=5.332 b=5.332 c=5.332 alpha=144.33 beta=131.46 gamma=61.67
Fractional positions:
Ta: 0.000 0.000 0.000
Ta: 0.746 0.246 0.500
Tc: 0.515 0.515 0.000
Rh: 0.247 0.747 0.500

Volume (A^3/atom): 16.39
Formation energy from the elements (eV per atom): -0.28
Uncorrected energy (Ry per atom): -0.782
DOS(E_F) (states/eV/cell): 2.8
Excess energy over the best structure of this formula in the dataset (meV per atom): 112.5